No. 1
Material: CaY2Cu2
Method: DFT, GGA-PBE
State: relaxed

Unit cell a=8.003 b=8.003 c=3.819 alpha=90.00 beta=90.00 gamma=90.00
Space group P4/mbm (No. 127)
Unique sites:
Ca1 0.000 0.000 0.000
Y1 0.158 0.342 0.500
Cu1 0.122 0.622 0.000

---

No. 2
Material: CaY2Cu
Method: DFT, GGA-PBE
State: relaxed

Unit cell a=3.7832 b=3.7832 c=29.9965 alpha=90.00 beta=90.00 gamma=120.00
Space group R-3m (No. 166, hexagonal axes)
Unique sites:
Ca1 0.0000 0.0000 0.0000
Y1 0.0000 0.0000 0.2273
Cu1 0.0000 0.0000 0.5000

---

No. 3
Material: CaYCu
Method: DFT, GGA-PBE
State: relaxed

Unit cell a=4.6623 b=4.6623 c=4.5219 alpha=90.00 beta=90.00 gamma=120.00
Space group P3m1 (No. 156)
Unique sites:
Ca1 0.0000 0.0000 0.0000
Y1 0.6667 0.3333 0.5042
Cu1 0.3333 0.6667 0.3233

---

No. 4
Material: CaYCu
Method: DFT, GGA-PBE
State: relaxed

Unit cell a=6.967 b=6.967 c=6.967 alpha=90.00 beta=90.00 gamma=90.00
Space group F-43m (No. 216)
Unique sites:
Ca1 0.000 0.000 0.000
Y1 0.000 0.000 0.500
Cu1 0.250 0.250 0.750

---

No. 5
Material: CaY3Cu
Method: DFT, GGA-PBE
State: relaxed

Unit cell a=5.479 b=5.479 c=5.479 alpha=90.00 beta=90.00 gamma=90.00
Space group Pm-3m (No. 221)
Unique sites:
Ca1 0.000 0.000 0.000
Y1 0.000 0.500 0.500
Cu1 0.500 0.500 0.500

---

No. 6
Material: CaYCu3
Method: DFT, GGA-PBE
State: relaxed

Unit cell a=4.882 b=4.882 c=4.882 alpha=90.00 beta=90.00 gamma=90.00
Space group Pm-3m (No. 221)
Unique sites:
Ca1 0.000 0.000 0.000
Y1 0.500 0.500 0.500
Cu1 0.000 0.000 0.500

---

No. 7
Material: CaY2Cu
Method: DFT, GGA-PBE
State: relaxed

Unit cell a=7.613 b=7.613 c=7.613 alpha=90.00 beta=90.00 gamma=90.00
Space group F-43m (No. 216)
Unique sites:
Ca1 0.000 0.000 0.000
Y1 0.000 0.000 0.500
Y2 0.250 0.250 0.750
Cu1 0.250 0.250 0.250

---

No. 8
Material: CaY2Cu
Method: DFT, GGA-PBE
State: relaxed

Unit cell a=3.518 b=3.518 c=9.162 alpha=90.00 beta=90.00 gamma=90.00
Space group P4mm (No. 99)
Unique sites:
Ca1 0.000 0.000 0.000
Y1 0.000 0.000 0.386
Y2 0.500 0.500 0.670
Cu1 0.500 0.500 0.211

---

Offset from the most stable computed form values, unit meV/atom, following the record order: 0, 111, 218, 182, 0, 853, 351, 15.
Formation enthalpy at 0 K values, unit eV/atom, following the record order: -0.1269, 0.0581, 0.1377, 0.1023, 0.0958, 0.6637, 0.2989, -0.0373.
D(E_F) values, unit states/eV per cell, following the record order: 12.1, 19.8, 2.4, 20.7, 8.6, 2.9, 20.7, 5.1.